Entry 1:
First-principles (PBE) data for a relaxed Sr2HgPt crystal, as listed in the Alexandria database.

Output
- Calculated formation energy: -595 meV/atom

Unit cell a=5.3796 b=5.3796 c=3.8856 alpha=90.00 beta=90.00 gamma=90.20
Sites, in units of the cell vectors:
1 Sr 0.0000 0.5000 0.0000
2 Sr 0.5000 0.0000 0.0000
3 Hg 0.0000 0.0000 0.5000
4 Pt 0.5000 0.5000 0.5000

***

Entry 2:
First-principles (PBE) data for a relaxed CrCuHg crystal, as listed in the Alexandria database.

Output
- Calculated formation energy: 545 meV/atom
- Excess energy over the best structure of this formula in the dataset: 0.176 eV/atom

Unit cell a=3.0406 b=3.0406 c=6.4748 alpha=90.00 beta=90.00 gamma=120.00
Sites, in units of the cell vectors:
1 Cr 0.0000 0.0000 0.0000
2 Cu 0.6667 0.3333 0.2973
3 Hg 0.3333 0.6667 0.6391

***

Number 1 is which compound?
Sr2HgPt

***

What is the calculated formation energy in the second record?
545 meV/atom